# NaTmPu2O8 (GGA-PBE, relaxed)
# E_form (uncorrected) (kJ/mol of atoms): -248
# Size of the total moment (μB per cell): 8.0
# DOS at the Fermi energy (states/eV/f.u.): 9.8
# Calculated volume (Å³ per atom): 12.1
data_NaTmPu2O8
_chemical_formula_sum 'Na2 Tm2 Pu4 O16'
_cell_length_a 5.293
_cell_length_b 5.293
_cell_length_c 10.370
_cell_angle_alpha 90.00
_cell_angle_beta 90.00
_cell_angle_gamma 90.00
_space_group_name_H-M_alt 'I -4 m 2'
_space_group_IT_number 119
_space_group_name_Hall 'I -4 -2'
loop_
_atom_site_label
_atom_site_type_symbol
_atom_site_fract_x
_atom_site_fract_y
_atom_site_fract_z
Na1 Na 0.000 0.000 0.000
Tm1 Tm 0.000 0.500 0.750
Pu1 Pu 0.000 0.000 0.500
Pu2 Pu 0.000 0.500 0.250
O1 O 0.229 0.243 0.373